1.
Computed, not measured: a geometry-optimized Hf6Ni23 structure at the PBE level of DFT.

Unit cell a=11.422 b=11.422 c=11.422 alpha=90.00 beta=90.00 gamma=90.00
Space group Fm-3m (No. 225)
Asymmetric unit:
Hf: 0.000 0.000 0.213 x24
Ni: 0.000 0.000 0.500 x4
Ni: 0.000 0.250 0.250 x24
Ni: 0.120 0.120 0.380 x32
Ni: 0.170 0.170 0.170 x32

Results
mass density = 10.79 Mg/m³
energy of formation from the pure elements = -385.9 meV/atom
DOS at the Fermi energy = 1.240 states/eV/atom
calculated volume = 1490.2 Å³/cell

---

2.
Computed, not measured: a geometry-optimized ScMnAlCo structure at the PBE level of DFT.

Unit cell a=6.165 b=6.165 c=6.165 alpha=90.00 beta=90.00 gamma=90.00
Space group F-43m (No. 216)
Asymmetric unit:
Sc: 0.000 0.000 0.000 x4
Mn: 0.250 0.250 0.250 x4
Al: 0.000 0.000 0.500 x4
Co: 0.250 0.250 0.750 x4

Results
mass density = 5.27 Mg/m³
energy of formation from the pure elements = -263.7 meV/atom
DOS at the Fermi energy = 0.764 states/eV/atom
calculated volume = 234.3 Å³/cell

---

3.
Computed, not measured: a geometry-optimized SrTlTe2 structure at the PBE level of DFT.

Unit cell a=5.548 b=5.548 c=4.280 alpha=90.00 beta=90.00 gamma=90.00
Space group P4/mmm (No. 123)
Asymmetric unit:
Sr: 0.000 0.000 0.000 x1
Tl: 0.500 0.500 0.000 x1
Te: 0.000 0.500 0.500 x2

Results
mass density = 6.90 Mg/m³
DOS at the Fermi energy = 0.783 states/eV/atom
formation energy (no corrections) = -0.816 eV per atom
calculated volume = 131.7 Å³/cell